1.
# SmTmTcPd PBE-GGA relaxed
# E_form: -0.3324 eV per atom
# symmetry: F-43m (216)
# E_tot: -26.079 eV for the cell shown
data_SmTmTcPd
_symmetry_space_group_name_H-M 'P 1'
_symmetry_Int_Tables_number 1
_cell_length_a 4.9015
_cell_length_b 4.9015
_cell_length_c 4.9015
_cell_angle_alpha 60.00
_cell_angle_beta 60.00
_cell_angle_gamma 60.00
loop_
_symmetry_equiv_pos_as_xyz
'x,y,z'
loop_
_atom_site_label
_atom_site_type_symbol
_atom_site_fract_x
_atom_site_fract_y
_atom_site_fract_z
_atom_site_occupancy
Sm1 Sm 0.7500 0.7500 0.7500 1
Pd1 Pd 0.0000 0.0000 0.0000 1
Tc1 Tc 0.5000 0.5000 0.5000 1
Tm1 Tm 0.2500 0.2500 0.2500 1

---

2.
# SmYTcPd PBE-GGA relaxed
# E_form: -0.2877 eV per atom
# symmetry: F-43m (216)
# E_tot: -27.893 eV for the cell shown
data_SmYTcPd
_symmetry_space_group_name_H-M 'P 1'
_symmetry_Int_Tables_number 1
_cell_length_a 4.9419
_cell_length_b 4.9419
_cell_length_c 4.9419
_cell_angle_alpha 60.00
_cell_angle_beta 60.00
_cell_angle_gamma 60.00
loop_
_symmetry_equiv_pos_as_xyz
'x,y,z'
loop_
_atom_site_label
_atom_site_type_symbol
_atom_site_fract_x
_atom_site_fract_y
_atom_site_fract_z
_atom_site_occupancy
Sm1 Sm 0.5000 0.5000 0.5000 1
Pd1 Pd 0.7500 0.7500 0.7500 1
Tc1 Tc 0.2500 0.2500 0.2500 1
Y1 Y 0.0000 0.0000 0.0000 1